Entry from Alexandria: a geometry-optimized Pu4Al16Co3 structure (PBE-GGA).

```
data_Pu4Al16Co3
_chemical_formula_sum 'Pu4 Al16 Co3'
_cell_length_a 6.0207
_cell_length_b 6.0207
_cell_length_c 11.1387
_cell_angle_alpha 90.00
_cell_angle_beta 90.00
_cell_angle_gamma 90.00
_space_group_name_H-M_alt 'P 4/m m m'
_space_group_IT_number 123
_space_group_name_Hall '-P 4 2'
loop_
_atom_site_label
_atom_site_type_symbol
_atom_site_fract_x
_atom_site_fract_y
_atom_site_fract_z
Pu1 Pu 0.0000 0.5000 0.1903
Al1 Al 0.0000 0.0000 0.2011
Al2 Al 0.2252 0.2252 0.0000
Al3 Al 0.2497 0.2497 0.3827
Al4 Al 0.5000 0.5000 0.2142
Co1 Co 0.0000 0.5000 0.5000
Co2 Co 0.5000 0.5000 0.0000
```

- Size of the total moment: 21.26 μB per cell
- Formation enthalpy at 0 K: -0.380 eV/atom



Entry from Alexandria: a geometry-optimized Pu2AlCo3 structure (PBE-GGA).

```
data_Pu2AlCo3
_chemical_formula_sum 'Pu6 Al3 Co9'
_cell_length_a 5.2801
_cell_length_b 5.2801
_cell_length_c 11.5260
_cell_angle_alpha 90.00
_cell_angle_beta 90.00
_cell_angle_gamma 120.00
_space_group_name_H-M_alt 'R -3 m'
_space_group_IT_number 166
_space_group_name_Hall '-R 3 2"'
loop_
_atom_site_label
_atom_site_type_symbol
_atom_site_fract_x
_atom_site_fract_y
_atom_site_fract_z
Pu1 Pu 0.0000 0.0000 0.1247
Al1 Al 0.0000 0.0000 0.5000
Co1 Co 0.0000 0.5000 0.0000
```

- Size of the total moment: 27.50 μB per cell
- Formation enthalpy at 0 K: -0.222 eV/atom



Entry from Alexandria: a geometry-optimized Pu2Al3Co structure (PBE-GGA).

```
data_Pu2Al3Co
_chemical_formula_sum 'Pu6 Al9 Co3'
_cell_length_a 5.4436
_cell_length_b 5.4436
_cell_length_c 12.7070
_cell_angle_alpha 90.00
_cell_angle_beta 90.00
_cell_angle_gamma 120.00
_space_group_name_H-M_alt 'R -3 m'
_space_group_IT_number 166
_space_group_name_Hall '-R 3 2"'
loop_
_atom_site_label
_atom_site_type_symbol
_atom_site_fract_x
_atom_site_fract_y
_atom_site_fract_z
Pu1 Pu 0.0000 0.0000 0.1222
Al1 Al 0.0000 0.5000 0.0000
Co1 Co 0.0000 0.0000 0.5000
```

- Size of the total moment: 30.82 μB per cell
- Formation enthalpy at 0 K: -0.294 eV/atom



Entry from Alexandria: a geometry-optimized Pu2Al2Co15 structure (PBE-GGA).

```
data_Pu2Al2Co15
_chemical_formula_sum 'Pu6 Al6 Co45'
_cell_length_a 8.2971
_cell_length_b 8.2971
_cell_length_c 12.2192
_cell_angle_alpha 90.00
_cell_angle_beta 90.00
_cell_angle_gamma 120.00
_space_group_name_H-M_alt 'R -3 m'
_space_group_IT_number 166
_space_group_name_Hall '-R 3 2"'
loop_
_atom_site_label
_atom_site_type_symbol
_atom_site_fract_x
_atom_site_fract_y
_atom_site_fract_z
Pu1 Pu 0.0000 0.0000 0.1474
Al1 Al 0.0000 0.0000 0.3944
Co1 Co 0.0000 0.2907 0.5000
Co2 Co 0.0000 0.5000 0.0000
Co3 Co 0.0019 0.5010 0.6480
```

- Size of the total moment: 28.89 μB per cell
- Formation enthalpy at 0 K: -0.130 eV/atom



Entry from Alexandria: a geometry-optimized PuAlCo structure (PBE-GGA).

```
data_PuAlCo
_chemical_formula_sum 'Pu3 Al3 Co3'
_cell_length_a 6.7257
_cell_length_b 6.7257
_cell_length_c 3.9757
_cell_angle_alpha 90.00
_cell_angle_beta 90.00
_cell_angle_gamma 120.00
_space_group_name_H-M_alt 'P -6 2 m'
_space_group_IT_number 189
_space_group_name_Hall 'P -6 -2'
loop_
_atom_site_label
_atom_site_type_symbol
_atom_site_fract_x
_atom_site_fract_y
_atom_site_fract_z
Pu1 Pu 0.0000 0.5800 0.0000
Al1 Al 0.0000 0.2341 0.5000
Co1 Co 0.0000 0.0000 0.0000
Co2 Co 0.3333 0.6667 0.5000
```

- Size of the total moment: 13.68 μB per cell
- Formation enthalpy at 0 K: -0.309 eV/atom



Entry from Alexandria: a geometry-optimized PuAl8Co4 structure (PBE-GGA).

```
data_PuAl8Co4
_chemical_formula_sum 'Pu2 Al16 Co8'
_cell_length_a 8.5601
_cell_length_b 8.5601
_cell_length_c 5.0812
_cell_angle_alpha 90.00
_cell_angle_beta 90.00
_cell_angle_gamma 90.00
_space_group_name_H-M_alt 'I 4/m m m'
_space_group_IT_number 139
_space_group_name_Hall '-I 4 2'
loop_
_atom_site_label
_atom_site_type_symbol
_atom_site_fract_x
_atom_site_fract_y
_atom_site_fract_z
Pu1 Pu 0.0000 0.0000 0.0000
Al1 Al 0.0000 0.2210 0.5000
Al2 Al 0.0000 0.3388 0.0000
Co1 Co 0.2500 0.2500 0.2500
```

- Size of the total moment: 9.88 μB per cell
- Formation enthalpy at 0 K: -0.447 eV/atom



no.,calculated volume (A^3/atom),Fermi-level density of states (states/eV/f.u.),DFT total energy (eV/atom)
1,17.6,31.2,-6.403
2,15.5,15.9,-9.176
3,18.1,13.4,-8.127
4,12.8,30.8,-7.643
5,17.3,8.3,-8.703
6,14.3,18.8,-6.039